# Yb2SnS5

Yb2SnS5 after structural relaxation (PBE, Alexandria). Values from VASP.

Cell and atoms, written as Quantum ESPRESSO input:
```
&SYSTEM
  ibrav = 0, nat = 32, ntyp = 3
/
ATOMIC_SPECIES
Yb 173.04 Yb.upf
Sn 118.71 Sn.upf
S 32.06 S.upf
CELL_PARAMETERS angstrom
3.844 0.000 0.000
0.000 11.714 0.000
0.000 0.000 15.026
ATOMIC_POSITIONS angstrom
Yb 0.068 8.594 6.322
Yb 0.068 3.119 8.704
Yb 3.776 2.738 1.191
Yb 3.776 8.976 13.835
Yb 3.804 10.164 2.638
Yb 3.804 1.550 12.388
Yb 0.040 4.307 4.875
Yb 0.040 7.407 10.151
Sn 2.033 0.672 5.639
Sn 2.033 11.041 9.387
Sn 1.811 6.529 1.874
Sn 1.811 5.185 13.152
S 2.033 3.036 6.600
S 2.033 8.678 8.426
S 1.811 8.893 0.913
S 1.811 2.821 14.112
S 3.738 5.857 0.000
S 0.106 0.000 7.513
S 1.949 9.947 4.737
S 1.949 1.767 10.289
S 1.895 4.090 2.776
S 1.895 7.624 12.250
S 1.978 6.382 5.845
S 1.978 5.332 9.181
S 1.866 0.525 1.668
S 1.866 11.188 13.358
S 3.715 7.197 3.456
S 3.715 4.517 11.570
S 0.129 1.340 4.057
S 0.129 10.374 10.969
S 0.791 5.857 7.513
S 3.053 0.000 0.000
```

Results
The raw formation energy is -1.2212 eV per atom. The value obtained for the density of states at the Fermi level is 30.5 states/eV/f.u. The total magnetization comes out at 0.075 μB/atom. The calculation puts the total DFT energy (no corrections) at -4.6827 eV per atom.

***

# La2TaZn

La2TaZn after structural relaxation (PBE, Alexandria). Values from VASP.

Cell and atoms, written as Quantum ESPRESSO input:
```
&SYSTEM
  ibrav = 0, nat = 4, ntyp = 3
/
ATOMIC_SPECIES
La 138.91 La.upf
Ta 180.95 Ta.upf
Zn 65.41 Zn.upf
CELL_PARAMETERS angstrom
-5.238 -0.032 -1.942
0.610 -5.354 -1.472
-1.106 -0.951 3.000
ATOMIC_POSITIONS angstrom
La 0.000 0.000 0.000
La -2.314 -2.693 -1.707
Ta -3.172 -0.491 0.529
Zn -0.248 -3.153 0.764
```

Results
The value obtained for the density of states at the Fermi level is 5.1 states/eV/f.u. For the formation energy, the calculation gives 0.25 eV/atom. The total magnetization comes out at 0.000 μB/atom. The calculation puts the total DFT energy (no corrections) at -5.4915 eV per atom.

***

# Sc2SbS

Sc2SbS after structural relaxation (PBE, Alexandria). Values from VASP.

Cell and atoms, written as Quantum ESPRESSO input:
```
&SYSTEM
  ibrav = 0, nat = 4, ntyp = 3
/
ATOMIC_SPECIES
Sc 44.96 Sc.upf
Sb 121.76 Sb.upf
S 32.06 S.upf
CELL_PARAMETERS angstrom
3.782 -0.004 0.827
1.805 3.324 0.827
0.463 0.275 6.923
ATOMIC_POSITIONS angstrom
Sc 1.562 0.928 1.934
Sc 4.489 2.667 6.643
Sb 3.025 1.798 4.289
S 0.000 0.000 0.000
```

Results
The raw formation energy is -1.3611 eV per atom. The calculation puts the energy above the lowest structure with this stoichiometry at 0.256 eV/f.u. The value obtained for the density of states at the Fermi level is 2.0 states/eV/f.u. The total magnetization comes out at 0.000 μB/atom. The calculation puts the total DFT energy (no corrections) at -6.5894 eV per atom.

***

# Ce3UAl8

Ce3UAl8 after structural relaxation (PBE, Alexandria). Values from VASP.

Cell and atoms, written as Quantum ESPRESSO input:
```
&SYSTEM
  ibrav = 0, nat = 12, ntyp = 3
/
ATOMIC_SPECIES
Ce 140.12 Ce.upf
U 238.03 U.upf
Al 26.98 Al.upf
CELL_PARAMETERS angstrom
-5.493 0.128 1.344
2.217 -4.616 -2.401
1.877 -3.250 7.980
ATOMIC_POSITIONS angstrom
Ce -2.130 -2.826 3.466
Ce -2.768 -1.722 0.754
Ce 1.690 -2.926 7.185
U 1.110 -1.923 4.722
Al 0.590 -4.668 2.858
Al 1.523 -6.284 6.826
Al -1.351 -2.421 6.611
Al -0.285 -4.642 5.455
Al -2.927 -4.580 6.102
Al 0.306 -2.282 1.467
Al 1.457 -4.679 0.220
Al -1.396 -4.613 0.918
```

Results
The value obtained for the density of states at the Fermi level is 19.7 states/eV/f.u. For the formation energy, the calculation gives -0.37 eV/atom. The total magnetization comes out at 0.346 μB/atom. The calculation puts the total DFT energy (no corrections) at -5.2921 eV per atom.

***

What did the fourth record say?
# Ce3UAl8

Ce3UAl8 after structural relaxation (PBE, Alexandria). Values from VASP.

Cell and atoms, written as Quantum ESPRESSO input:
```
&SYSTEM
  ibrav = 0, nat = 12, ntyp = 3
/
ATOMIC_SPECIES
Ce 140.12 Ce.upf
U 238.03 U.upf
Al 26.98 Al.upf
CELL_PARAMETERS angstrom
-5.493 0.128 1.344
2.217 -4.616 -2.401
1.877 -3.250 7.980
ATOMIC_POSITIONS angstrom
Ce -2.130 -2.826 3.466
Ce -2.768 -1.722 0.754
Ce 1.690 -2.926 7.185
U 1.110 -1.923 4.722
Al 0.590 -4.668 2.858
Al 1.523 -6.284 6.826
Al -1.351 -2.421 6.611
Al -0.285 -4.642 5.455
Al -2.927 -4.580 6.102
Al 0.306 -2.282 1.467
Al 1.457 -4.679 0.220
Al -1.396 -4.613 0.918
```

Results
The value obtained for the density of states at the Fermi level is 19.7 states/eV/f.u. For the formation energy, the calculation gives -0.37 eV/atom. The total magnetization comes out at 0.346 μB/atom. The calculation puts the total DFT energy (no corrections) at -5.2921 eV per atom.